The following is a DFT calculation (PBE-GGA) of crystalline MgVBr4 at its relaxed geometry.

a = 6.646 Å, b = 3.856 Å, c = 7.080 Å
α = 90.00°, β = 94.45°, γ = 90.00°
Space group P2/m (No. 10)
One atom of each set of equivalent atoms:
Mg  0.000  0.000  0.000 (multiplicity 1)
V  0.500  0.500  0.000 (multiplicity 1)
Br  0.189  0.500  0.212 (multiplicity 2)
Br  0.322  0.000  0.792 (multiplicity 2)

Computed properties:
Energy: -24.3 eV per cell
Spin magnetization: 3.000 μB/cell
Raw formation energy: -6.89 eV/f.u.

---

The following is a DFT calculation (PBE-GGA) of crystalline TlIn3Hg9 at its relaxed geometry.

a = 11.863 Å, b = 13.627 Å, c = 8.896 Å
α = 90.00°, β = 90.00°, γ = 90.00°
Space group C222_1 (No. 20)
One atom of each set of equivalent atoms:
Tl  0.000  0.047  0.250 (multiplicity 4)
In  0.000  0.344  0.750 (multiplicity 4)
In  0.187  0.482  0.174 (multiplicity 8)
Hg  0.037  0.307  0.087 (multiplicity 8)
Hg  0.099  0.500  0.500 (multiplicity 4)
Hg  0.115  0.150  0.575 (multiplicity 8)
Hg  0.164  0.117  0.944 (multiplicity 8)
Hg  0.231  0.200  0.268 (multiplicity 8)

Computed properties:
Energy: -52.7 eV per cell
Spin magnetization: 0.000 μB/cell

---

The following is a DFT calculation (PBE-GGA) of crystalline TcPt5 at its relaxed geometry.

a = 10.447 Å, b = 2.780 Å, c = 6.657 Å
α = 90.00°, β = 105.87°, γ = 90.00°
Space group Cm (No. 8)
One atom of each set of equivalent atoms:
Tc  0.000  0.000  0.000 (multiplicity 2)
Pt  0.105  0.500  0.727 (multiplicity 2)
Pt  0.164  0.500  0.322 (multiplicity 2)
Pt  0.281  0.000  0.051 (multiplicity 2)
Pt  0.334  0.000  0.670 (multiplicity 2)
Pt  0.446  0.500  0.383 (multiplicity 2)

Computed properties:
Energy: -81.6 eV per cell
Distance to the lowest polymorph of the same formula: 0.079 eV per atom
Spin magnetization: 0.000 μB/cell

---

> spin magnetization of number 3 (TcPt5)?

0.000 μB/cell

---

> Number 3 is which compound?

TcPt5